1.
## SrAgPb2 (PBE)

Data for a relaxed SrAgPb2 crystal.

Values from the calculation:
Density of states at the Fermi level (states/eV per cell): 1.20
Energy (Ry per atom): -0.232
Calculated density (Mg/m³): 8.6
Energy relative to the elements (eV per atom): -0.164

Structure (CIF):
```
data_SrAgPb2
_chemical_formula_sum 'Sr1 Ag1 Pb2'
_cell_length_a 3.943
_cell_length_b 3.943
_cell_length_c 7.587
_cell_angle_alpha 90.00
_cell_angle_beta 90.00
_cell_angle_gamma 90.00
_symmetry_space_group_name_H-M 'P 4/m m m'
_symmetry_Int_Tables_number 123
_symmetry_space_group_name_Hall '-P 4 2'
loop_
_atom_site_label
_atom_site_fract_x
_atom_site_fract_y
_atom_site_fract_z
Sr1 0.000 0.000 0.000
Ag1 0.000 0.000 0.500
Pb1 0.500 0.500 0.295
```


2.
## Sc2HgCl (PBE)

Data for a relaxed Sc2HgCl crystal.

Values from the calculation:
Polymorph energy (0 for the lowest one) (meV/atom): 96
Density of states at the Fermi level (states/eV per cell): 9.48
ΔE_f (raw) (eV per atom): -0.697
Energy (Ry per atom): -0.323
Calculated density (Mg/m³): 5.4

Structure (CIF):
```
data_Sc2HgCl
_chemical_formula_sum 'Sc6 Hg3 Cl3'
_cell_length_a 3.4284
_cell_length_b 3.4284
_cell_length_c 29.3222
_cell_angle_alpha 90.00
_cell_angle_beta 90.00
_cell_angle_gamma 120.00
_symmetry_space_group_name_H-M 'R 3 m'
_symmetry_Int_Tables_number 160
_symmetry_space_group_name_Hall 'R 3 -2"'
loop_
_atom_site_label
_atom_site_fract_x
_atom_site_fract_y
_atom_site_fract_z
Sc1 0.0000 0.0000 0.0000
Sc2 0.0000 0.0000 0.2484
Hg1 0.0000 0.0000 0.5032
Cl1 0.0000 0.0000 0.7250
```


3.
## BaIn4Pt3 (PBE)

Data for a relaxed BaIn4Pt3 crystal.

Values from the calculation:
Density of states at the Fermi level (states/eV per cell): 8.81
Energy (Ry per atom): -0.323
Calculated density (Mg/m³): 9.5
Energy relative to the elements (eV per atom): -0.525

Structure (CIF):
```
data_BaIn4Pt3
_chemical_formula_sum 'Ba3 In12 Pt9'
_cell_length_a 4.5863
_cell_length_b 4.5863
_cell_length_c 34.1478
_cell_angle_alpha 90.00
_cell_angle_beta 90.00
_cell_angle_gamma 120.00
_symmetry_space_group_name_H-M 'R -3 m'
_symmetry_Int_Tables_number 166
_symmetry_space_group_name_Hall '-R 3 2"'
loop_
_atom_site_label
_atom_site_fract_x
_atom_site_fract_y
_atom_site_fract_z
Ba1 0.0000 0.0000 0.0000
In1 0.0000 0.0000 0.1918
In2 0.0000 0.0000 0.4156
Pt1 0.0000 0.0000 0.2714
Pt2 0.0000 0.0000 0.5000
```


4.
## Er4Ag3Os (PBE)

Data for a relaxed Er4Ag3Os crystal.

Values from the calculation:
Density of states at the Fermi level (states/eV per cell): 5.27
Energy (Ry per atom): -0.374
Calculated density (Mg/m³): 11.0
Energy relative to the elements (eV per atom): -0.328

Structure (CIF):
```
data_Er4Ag3Os
_chemical_formula_sum 'Er4 Ag3 Os1'
_cell_length_a 3.480
_cell_length_b 3.480
_cell_length_c 14.707
_cell_angle_alpha 90.00
_cell_angle_beta 90.00
_cell_angle_gamma 90.00
_symmetry_space_group_name_H-M 'P 4/m m m'
_symmetry_Int_Tables_number 123
_symmetry_space_group_name_Hall '-P 4 2'
loop_
_atom_site_label
_atom_site_fract_x
_atom_site_fract_y
_atom_site_fract_z
Er1 0.000 0.000 0.111
Er2 0.000 0.000 0.372
Ag1 0.500 0.500 0.246
Ag2 0.500 0.500 0.500
Os1 0.500 0.500 0.000
```


5.
## MgCr2Ni (PBE)

Data for a relaxed MgCr2Ni crystal.

Values from the calculation:
Density of states at the Fermi level (states/eV per cell): 5.20
Energy (Ry per atom): -0.465
Calculated density (Mg/m³): 6.1
Energy relative to the elements (eV per atom): 0.328

Structure (CIF):
```
data_MgCr2Ni
_chemical_formula_sum 'Mg1 Cr2 Ni1'
_cell_length_a 3.429
_cell_length_b 3.429
_cell_length_c 4.308
_cell_angle_alpha 90.00
_cell_angle_beta 90.00
_cell_angle_gamma 90.00
_symmetry_space_group_name_H-M 'P 4/m m m'
_symmetry_Int_Tables_number 123
_symmetry_space_group_name_Hall '-P 4 2'
loop_
_atom_site_label
_atom_site_fract_x
_atom_site_fract_y
_atom_site_fract_z
Mg1 0.000 0.000 0.000
Cr1 0.000 0.500 0.500
Ni1 0.500 0.500 0.000
```


6.
## CdHgAs2 (PBE)

Data for a relaxed CdHgAs2 crystal.

Values from the calculation:
Polymorph energy (0 for the lowest one) (meV/atom): 279
Density of states at the Fermi level (states/eV per cell): 3.03
Energy (Ry per atom): -0.171
Calculated density (Mg/m³): 8.8
Energy relative to the elements (eV per atom): 0.301

Structure (CIF):
```
data_CdHgAs2
_chemical_formula_sum 'Cd1 Hg1 As2'
_cell_length_a 4.139
_cell_length_b 4.139
_cell_length_c 5.125
_cell_angle_alpha 90.00
_cell_angle_beta 90.00
_cell_angle_gamma 90.00
_symmetry_space_group_name_H-M 'P 4/m m m'
_symmetry_Int_Tables_number 123
_symmetry_space_group_name_Hall '-P 4 2'
loop_
_atom_site_label
_atom_site_fract_x
_atom_site_fract_y
_atom_site_fract_z
Cd1 0.000 0.000 0.000
Hg1 0.500 0.500 0.000
As1 0.000 0.500 0.500
```